No. 1
Computed, not measured: Ho5TmBi5 after structural relaxation at the PBE level of DFT.

Geometry as POSCAR:
```
Ho5TmBi5
1.0
6.926 -3.117 0.000
6.926 3.117 0.000
-2.801 0.000 8.336
Ho Tm Bi
5 1 5
Direct
0.000 0.000 0.000 Ho
0.335 0.335 0.164 Ho
0.338 0.338 0.674 Ho
0.662 0.662 0.326 Ho
0.665 0.665 0.836 Ho
0.000 0.000 0.500 Tm
0.166 0.166 0.834 Bi
0.169 0.169 0.334 Bi
0.500 0.500 0.500 Bi
0.831 0.831 0.666 Bi
0.834 0.834 0.166 Bi
```

Summary:
DFT formation energy	-628	meV per atom
crystal system	monoclinic


No. 2
Computed, not measured: CdAg2AsSe4 after structural relaxation at the PBE level of DFT.

Geometry as POSCAR:
```
CdAg2AsSe4
1.0
-3.074 3.074 5.942
3.074 -3.074 5.942
3.074 3.074 -5.942
Cd Ag As Se
1 2 1 4
Direct
0.000 0.000 0.000 Cd
0.250 0.750 0.500 Ag
0.500 0.500 0.000 Ag
0.750 0.250 0.500 As
0.112 0.607 0.980 Se
0.393 0.373 0.505 Se
0.627 0.132 0.020 Se
0.868 0.888 0.495 Se
```

Summary:
formation energy from raw total energies	-0.1707	eV/atom
crystal system	tetragonal


No. 3
Computed, not measured: Cs2Ag2Bi after structural relaxation at the PBE level of DFT.

Geometry as POSCAR:
```
Cs2Ag2Bi
1.0
7.849 0.000 0.000
0.000 7.849 0.000
0.000 0.000 6.014
Cs Ag Bi
4 4 2
Direct
0.183 0.317 0.000 Cs
0.317 0.817 0.000 Cs
0.683 0.183 0.000 Cs
0.817 0.683 0.000 Cs
0.130 0.630 0.500 Ag
0.370 0.130 0.500 Ag
0.630 0.870 0.500 Ag
0.870 0.370 0.500 Ag
0.000 0.000 0.500 Bi
0.500 0.500 0.500 Bi
```

Summary:
DFT formation energy	-58	meV per atom
crystal system	tetragonal


No. 4
Computed, not measured: Sc2CoBr after structural relaxation at the PBE level of DFT.

Geometry as POSCAR:
```
Sc2CoBr
1.0
3.204 0.000 0.000
0.000 3.204 0.000
0.000 0.000 7.626
Sc Co Br
2 1 1
Direct
0.000 0.000 0.199 Sc
0.000 0.000 0.801 Sc
0.500 0.500 0.000 Co
0.500 0.500 0.500 Br
```

Summary:
formation energy from raw total energies	-0.5074	eV/atom
crystal system	tetragonal


Copy entry 3 word for word.
Computed, not measured: Cs2Ag2Bi after structural relaxation at the PBE level of DFT.

Geometry as POSCAR:
```
Cs2Ag2Bi
1.0
7.849 0.000 0.000
0.000 7.849 0.000
0.000 0.000 6.014
Cs Ag Bi
4 4 2
Direct
0.183 0.317 0.000 Cs
0.317 0.817 0.000 Cs
0.683 0.183 0.000 Cs
0.817 0.683 0.000 Cs
0.130 0.630 0.500 Ag
0.370 0.130 0.500 Ag
0.630 0.870 0.500 Ag
0.870 0.370 0.500 Ag
0.000 0.000 0.500 Bi
0.500 0.500 0.500 Bi
```

Summary:
DFT formation energy	-58	meV per atom
crystal system	tetragonal